A plane-wave DFT calculation with PBE-GGA was carried out for a relaxed YFeNiGe2 crystal.

E in eV per atom: -6.558
ΔE_f in eV per atom: -0.570

abc: 4.0725 4.0725 5.7303
angles: 110.81 110.81 90.00
With the nearest neighbours (Å) after each atom.
Fractional coordinates of all 5 atoms:
Y  0.0000  0.0000  0.0000  8 Ge 3.15, 4 Fe 3.21, 4 Ni 3.21
Ge  0.3703  0.3703  0.7407  2 Ni 2.36, 2 Fe 2.36, 1 Ge 2.57
Ge  0.6297  0.6297  0.2593  2 Fe 2.36, 2 Ni 2.36, 1 Ge 2.57
Fe  0.7500  0.2500  0.5000  4 Ge 2.36
Ni  0.2500  0.7500  0.5000  4 Ge 2.36

***

A plane-wave DFT calculation with PBE-GGA was carried out for a relaxed Zn2FeNi5Ge2 crystal.

E in eV per atom: -4.924
ΔE_f in eV per atom: -0.009

abc: 3.5816 8.5244 8.5244
angles: 90.00 90.00 90.00
With the nearest neighbours (Å) after each atom.
Fractional coordinates of all 20 atoms:
Ni  0.5000  0.5000  0.0000  4 Ge 2.39, 4 Ni 2.67
Ni  0.5000  0.0000  0.5000  4 Ge 2.39, 4 Ni 2.67
Ni  0.5000  0.0728  0.8046  2 Ge 2.38, 2 Ni 2.51, 2 Fe 2.52
Ni  0.5000  0.9272  0.1954  2 Ge 2.38, 2 Ni 2.51, 2 Fe 2.52
Ni  0.5000  0.6954  0.4272  2 Ge 2.38, 2 Ni 2.51, 2 Fe 2.52
Ni  0.5000  0.5728  0.6954  2 Ge 2.38, 2 Ni 2.51, 2 Fe 2.52
Ni  0.5000  0.4272  0.3046  2 Ge 2.38, 2 Ni 2.51, 2 Fe 2.52
Ni  0.5000  0.3046  0.5728  2 Ge 2.38, 2 Ni 2.51, 2 Fe 2.52
Ni  0.5000  0.8046  0.9272  2 Ge 2.38, 2 Ni 2.51, 2 Fe 2.52
Ni  0.5000  0.1954  0.0728  2 Ge 2.38, 2 Ni 2.51, 2 Fe 2.52
Fe  0.0000  0.5000  0.5000  8 Ni 2.52
Fe  0.0000  0.0000  0.0000  8 Ni 2.52
Zn  0.0000  0.8307  0.6693  3 Ge 2.41-2.58
Zn  0.0000  0.1693  0.3307  3 Ge 2.41-2.58
Zn  0.0000  0.6693  0.1693  3 Ge 2.41-2.58
Zn  0.0000  0.3307  0.8307  3 Ge 2.41-2.58
Ge  0.0000  0.8691  0.3691  6 Ni 2.38-2.39, 3 Zn 2.41-2.58
Ge  0.0000  0.1309  0.6309  6 Ni 2.38-2.39, 3 Zn 2.41-2.58
Ge  0.0000  0.3691  0.1309  6 Ni 2.38-2.39, 3 Zn 2.41-2.58
Ge  0.0000  0.6309  0.8691  6 Ni 2.38-2.39, 3 Zn 2.41-2.58

***

A plane-wave DFT calculation with PBE-GGA was carried out for a relaxed Np3Fe2Ge7 crystal.

E in eV per atom: -7.557
ΔE_f in eV per atom: -0.218

abc: 4.1845 4.1679 12.7245
angles: 99.03 90.00 90.00
With the nearest neighbours (Å) after each atom.
Fractional coordinates of all 12 atoms:
Ge  0.0000  0.4120  0.8261  2 Fe 2.33
Ge  0.5000  0.7221  0.4408  1 Fe 2.32, 2 Ge 2.56
Ge  0.0000  0.5880  0.1739  2 Fe 2.33
Ge  0.5000  0.2779  0.5592  1 Fe 2.32, 2 Ge 2.56
Ge  0.5000  0.9188  0.8269  2 Fe 2.32-2.34
Ge  0.0000  0.0000  0.0000  4 Np 2.95, 8 Ge 3.01-3.03
Ge  0.5000  0.0812  0.1731  2 Fe 2.32-2.34
Fe  0.5000  0.6190  0.2560  5 Ge 2.32-2.34
Fe  0.5000  0.3810  0.7440  5 Ge 2.32-2.34
Np  0.5000  0.5000  0.0000  12 Ge 2.95-3.03, 2 Fe 3.22
Np  0.0000  0.8111  0.6324  10 Ge 3.09-3.23, 4 Fe 3.23-3.31
Np  0.0000  0.1889  0.3676  10 Ge 3.09-3.23, 4 Fe 3.23-3.31

***

A plane-wave DFT calculation with PBE-GGA was carried out for a relaxed Np2FeGe3 crystal.

E in eV per atom: -8.190
ΔE_f in eV per atom: -0.157
Energy above the most stable polymorph in this dataset in meV/atom: 0

abc: 3.6307 4.3446 7.2698
angles: 90.00 90.00 90.00
With the nearest neighbours (Å) after each atom.
Fractional coordinates of all 6 atoms:
Fe  0.5000  0.5000  0.3238  3 Ge 2.42-2.43
Ge  0.5000  0.0000  0.8324  3 Ge 2.50-2.52
Ge  0.5000  0.5000  0.6578  1 Fe 2.43, 2 Ge 2.52
Ge  0.5000  0.0000  0.1761  2 Fe 2.42, 1 Ge 2.50
Np  0.0000  0.0000  0.4944  8 Ge 2.94-3.07, 4 Fe 3.09
Np  0.0000  0.5000  0.0155  2 Fe 2.88, 10 Ge 3.06-3.17

***

A plane-wave DFT calculation with PBE-GGA was carried out for a relaxed NpFe12Ge6 crystal.

E in eV per atom: -7.371
ΔE_f in eV per atom: 0.113

abc: 6.7339 6.7339 6.7339
angles: 104.29 104.29 104.29
With the nearest neighbours (Å) after each atom.
Fractional coordinates of all 19 atoms:
Ge  0.2577  0.7193  0.2577  7 Fe 2.31-2.56
Ge  0.2807  0.7423  0.7423  7 Fe 2.31-2.56
Ge  0.2577  0.2577  0.7193  7 Fe 2.31-2.56
Ge  0.7423  0.7423  0.2807  7 Fe 2.31-2.56
Ge  0.7423  0.2807  0.7423  7 Fe 2.31-2.56
Ge  0.7193  0.2577  0.2577  7 Fe 2.31-2.56
Fe  0.1122  0.8878  0.5000  4 Ge 2.31-2.37, 1 Fe 2.39
Fe  0.5000  0.1122  0.8878  4 Ge 2.31-2.37, 1 Fe 2.39
Fe  0.5000  0.8878  0.1122  4 Ge 2.31-2.37, 1 Fe 2.39
Fe  0.4155  0.4155  0.1527  4 Ge 2.48-2.67, 2 Fe 2.64
Fe  0.8473  0.5845  0.5845  4 Ge 2.48-2.67, 2 Fe 2.64
Fe  0.1527  0.4155  0.4155  4 Ge 2.48-2.67, 2 Fe 2.64
Fe  0.5845  0.8473  0.5845  4 Ge 2.48-2.67, 2 Fe 2.64
Fe  0.5845  0.5845  0.8473  4 Ge 2.48-2.67, 2 Fe 2.64
Fe  0.1122  0.5000  0.8878  4 Ge 2.31-2.37, 1 Fe 2.39
Fe  0.8878  0.5000  0.1122  4 Ge 2.31-2.37, 1 Fe 2.39
Fe  0.8878  0.1122  0.5000  4 Ge 2.31-2.37, 1 Fe 2.39
Fe  0.4155  0.1527  0.4155  4 Ge 2.48-2.67, 2 Fe 2.64
Np  0.0000  0.0000  0.0000  6 Fe 3.16, 6 Ge 3.37

***

A plane-wave DFT calculation with PBE-GGA was carried out for a relaxed NpFe3Ge3 crystal.

E in eV per atom: -7.008
ΔE_f in eV per atom: 0.446

abc: 6.4762 6.4762 6.4762
angles: 90.00 90.00 90.00
With the nearest neighbours (Å) after each atom.
Fractional coordinates of all 14 atoms:
Np  0.5000  0.5000  0.5000  12 Ge 3.62, 12 Fe 3.62
Np  0.0000  0.0000  0.0000  12 Ge 3.62, 12 Fe 3.62
Ge  0.7500  0.0000  0.5000  4 Fe 2.29
Ge  0.0000  0.5000  0.2500  4 Fe 2.29
Ge  0.2500  0.0000  0.5000  4 Fe 2.29
Ge  0.0000  0.5000  0.7500  4 Fe 2.29
Ge  0.5000  0.7500  0.0000  4 Fe 2.29
Ge  0.5000  0.2500  0.0000  4 Fe 2.29
Fe  0.0000  0.7500  0.5000  4 Ge 2.29
Fe  0.0000  0.2500  0.5000  4 Ge 2.29
Fe  0.5000  0.0000  0.7500  4 Ge 2.29
Fe  0.5000  0.0000  0.2500  4 Ge 2.29
Fe  0.2500  0.5000  0.0000  4 Ge 2.29
Fe  0.7500  0.5000  0.0000  4 Ge 2.29

***

A plane-wave DFT calculation with PBE-GGA was carried out for a relaxed NpFe2Ge4 crystal.

E in eV per atom: -7.030
ΔE_f in eV per atom: -0.125

abc: 4.0936 6.4031 16.8518
angles: 90.00 90.00 90.00
With the nearest neighbours (Å) after each atom.
Fractional coordinates of all 28 atoms:
Ge  0.7500  0.3089  0.3156  4 Fe 2.51-2.52, 1 Ge 2.66
Ge  0.2500  0.4928  0.4297  4 Fe 2.43-2.63
Ge  0.7500  0.8597  0.4698  3 Fe 2.44-2.50
Ge  0.7500  0.9928  0.0703  4 Fe 2.43-2.63
Ge  0.2500  0.2775  0.6954  3 Fe 2.44-2.45, 1 Ge 2.66
Ge  0.7500  0.5072  0.5703  4 Fe 2.43-2.63
Ge  0.2500  0.0072  0.9297  4 Fe 2.43-2.63
Ge  0.2500  0.2225  0.1954  3 Fe 2.44-2.45, 1 Ge 2.66
Ge  0.2500  0.6911  0.6844  4 Fe 2.51-2.52, 1 Ge 2.66
Ge  0.7500  0.7225  0.3046  3 Fe 2.44-2.45, 1 Ge 2.66
Ge  0.2500  0.1403  0.5302  3 Fe 2.44-2.50
Ge  0.7500  0.7775  0.8046  3 Fe 2.44-2.45, 1 Ge 2.66
Ge  0.7500  0.1911  0.8156  4 Fe 2.51-2.52, 1 Ge 2.66
Ge  0.2500  0.8089  0.1844  4 Fe 2.51-2.52, 1 Ge 2.66
Ge  0.2500  0.3597  0.0302  3 Fe 2.44-2.50
Ge  0.7500  0.6403  0.9698  3 Fe 2.44-2.50
Np  0.2500  0.4950  0.8605  9 Ge 2.89-3.22, 4 Fe 3.11-3.21
Np  0.7500  0.9950  0.6395  9 Ge 2.89-3.22, 4 Fe 3.11-3.21
Np  0.2500  0.0050  0.3605  9 Ge 2.89-3.22, 4 Fe 3.11-3.21
Np  0.7500  0.5050  0.1395  9 Ge 2.89-3.22, 4 Fe 3.11-3.21
Fe  0.7500  0.2504  0.4638  7 Ge 2.43-2.63
Fe  0.2500  0.9788  0.7862  7 Ge 2.43-2.52
Fe  0.7500  0.0212  0.2138  7 Ge 2.43-2.52
Fe  0.7500  0.4788  0.7138  7 Ge 2.43-2.52
Fe  0.2500  0.7504  0.0362  7 Ge 2.43-2.63
Fe  0.2500  0.5212  0.2862  7 Ge 2.43-2.52
Fe  0.7500  0.2496  0.9638  7 Ge 2.43-2.63
Fe  0.2500  0.7496  0.5362  7 Ge 2.43-2.63

***

A plane-wave DFT calculation with PBE-GGA was carried out for a relaxed Np2Fe3Ge5 crystal.

E in eV per atom: -7.614
ΔE_f in eV per atom: -0.178

abc: 4.1365 6.5492 12.0989
angles: 90.00 99.84 90.00
With the nearest neighbours (Å) after each atom.
Fractional coordinates of all 20 atoms:
Fe  0.2248  0.2063  0.4496  7 Ge 2.40-2.51
Fe  0.6004  0.5057  0.2007  1 Np 2.31, 3 Ge 2.51-2.55
Fe  0.9485  0.4933  0.8970  5 Ge 2.42-2.52
Fe  0.0515  0.9933  0.1030  5 Ge 2.42-2.52
Fe  0.7752  0.7063  0.5504  7 Ge 2.40-2.51
Fe  0.3996  0.0057  0.7993  1 Np 2.31, 3 Ge 2.51-2.55
Ge  0.7070  0.4146  0.4140  4 Fe 2.51-2.61, 1 Ge 2.71
Ge  0.9524  0.1087  0.9047  4 Fe 2.48-2.52
Ge  0.8752  0.7547  0.7503  2 Fe 2.40-2.45
Ge  0.2930  0.9146  0.5860  4 Fe 2.51-2.61, 1 Ge 2.71
Ge  0.1248  0.2547  0.2497  2 Fe 2.40-2.45
Ge  0.4031  0.3948  0.8063  3 Fe 2.42-2.55
Ge  0.7108  0.0010  0.4216  3 Fe 2.47-2.49, 1 Ge 2.71
Ge  0.2892  0.5010  0.5784  3 Fe 2.47-2.49, 1 Ge 2.71
Ge  0.0476  0.6087  0.0953  4 Fe 2.48-2.52
Ge  0.5969  0.8948  0.1937  3 Fe 2.42-2.55
Np  0.5270  0.2752  0.0539  1 Fe 2.31
Np  0.1704  0.7105  0.3409  10 Ge 2.97-3.21, 4 Fe 2.98-3.24
Np  0.4730  0.7752  0.9461  1 Fe 2.31
Np  0.8296  0.2105  0.6591  10 Ge 2.97-3.21, 4 Fe 2.98-3.24

***

A plane-wave DFT calculation with PBE-GGA was carried out for a relaxed NpFe2Ge2 crystal.

E in eV per atom: -7.884
ΔE_f in eV per atom: -0.063

abc: 3.8519 3.8519 5.5790
angles: 90.00 90.00 90.00
With the nearest neighbours (Å) after each atom.
Fractional coordinates of all 5 atoms:
Fe  0.0000  0.5000  0.5000  4 Ge 2.45, 4 Fe 2.72
Fe  0.5000  0.0000  0.5000  4 Ge 2.45, 4 Fe 2.72
Ge  0.5000  0.5000  0.2286  4 Fe 2.45, 1 Ge 2.55
Ge  0.5000  0.5000  0.7714  4 Fe 2.45, 1 Ge 2.55
Np  0.0000  0.0000  0.0000  8 Ge 3.01

***

A plane-wave DFT calculation with PBE-GGA was carried out for a relaxed NpFeGe2 crystal.

E in eV per atom: -7.822
ΔE_f in eV per atom: -0.163

abc: 4.3372 6.3135 10.0058
angles: 90.00 90.00 90.00
With the nearest neighbours (Å) after each atom.
Fractional coordinates of all 16 atoms:
Np  0.7500  0.2752  0.1574  3 Fe 2.75-2.90, 7 Ge 2.95-3.01
Np  0.7500  0.7752  0.3426  3 Fe 2.75-2.90, 7 Ge 2.95-3.01
Np  0.2500  0.2248  0.6574  3 Fe 2.75-2.90, 7 Ge 2.95-3.01
Np  0.2500  0.7248  0.8426  3 Fe 2.75-2.90, 7 Ge 2.95-3.01
Ge  0.7500  0.7510  0.0483  3 Fe 2.48-2.51, 2 Ge 2.75
Ge  0.2500  0.4455  0.3365  2 Fe 2.48-2.50, 2 Ge 2.75
Ge  0.2500  0.9455  0.1635  2 Fe 2.48-2.50, 2 Ge 2.75
Ge  0.7500  0.5545  0.6635  2 Fe 2.48-2.50, 2 Ge 2.75
Ge  0.2500  0.7490  0.5483  3 Fe 2.48-2.51, 2 Ge 2.75
Ge  0.7500  0.2510  0.4517  3 Fe 2.48-2.51, 2 Ge 2.75
Ge  0.7500  0.0545  0.8365  2 Fe 2.48-2.50, 2 Ge 2.75
Ge  0.2500  0.2490  0.9517  3 Fe 2.48-2.51, 2 Ge 2.75
Fe  0.2500  0.0658  0.4014  5 Ge 2.48-2.51, 1 Np 2.75
Fe  0.7500  0.4342  0.9014  5 Ge 2.48-2.51, 1 Np 2.75
Fe  0.7500  0.9342  0.5986  5 Ge 2.48-2.51, 1 Np 2.75
Fe  0.2500  0.5658  0.0986  5 Ge 2.48-2.51, 1 Np 2.75

***

A plane-wave DFT calculation with PBE-GGA was carried out for a relaxed Np3Fe2Ge4 crystal.

E in eV per atom: -8.406
ΔE_f in eV per atom: -0.160

abc: 4.3061 5.5713 8.5002
angles: 120.46 90.00 112.73
With the nearest neighbours (Å) after each atom.
Fractional coordinates of all 9 atoms:
Ge  0.7102  0.4205  0.0465  1 Fe 2.44, 2 Ge 2.58
Ge  0.8879  0.7757  0.5927  3 Fe 2.51-2.57
Ge  0.2898  0.5795  0.9535  1 Fe 2.44, 2 Ge 2.58
Ge  0.1121  0.2243  0.4073  3 Fe 2.51-2.57
Fe  0.3703  0.7406  0.7323  4 Ge 2.44-2.57
Fe  0.6297  0.2594  0.2677  4 Ge 2.44-2.57
Np  0.0000  0.0000  0.0000  4 Fe 2.87, 8 Ge 2.92-3.21
Np  0.6192  0.2384  0.6480  1 Np 2.36
Np  0.3808  0.7616  0.3520  1 Np 2.36

***

A plane-wave DFT calculation with PBE-GGA was carried out for a relaxed NpFe6Ge6 crystal.

E in eV per atom: -7.168
ΔE_f in eV per atom: -0.135

abc: 5.1105 5.1105 8.1473
angles: 90.00 90.00 120.00
With the nearest neighbours (Å) after each atom.
Fractional coordinates of all 13 atoms:
Ge  0.3333  0.6667  0.0000  6 Fe 2.52
Ge  0.6666  0.3334  0.5000  6 Fe 2.51
Ge  0.6667  0.3333  0.0000  6 Fe 2.52
Ge  0.3334  0.6666  0.5000  6 Fe 2.51
Ge  0.0000  0.0000  0.6533  1 Ge 2.50, 6 Fe 2.67
Ge  0.0000  0.0000  0.3467  1 Ge 2.50, 6 Fe 2.67
Fe  0.0000  0.5000  0.2510  6 Ge 2.51-2.67, 4 Fe 2.56
Fe  0.5000  0.5000  0.7490  6 Ge 2.51-2.67, 4 Fe 2.56
Fe  0.0000  0.5000  0.7490  6 Ge 2.51-2.67, 4 Fe 2.56
Fe  0.5000  0.5000  0.2510  6 Ge 2.51-2.67, 4 Fe 2.56
Fe  0.5000  0.0000  0.2510  6 Ge 2.51-2.67, 4 Fe 2.56
Fe  0.5000  0.0000  0.7490  6 Ge 2.51-2.67, 4 Fe 2.56
Np  0.0000  0.0000  0.0000  8 Ge 2.82-2.95